The following is a GGA-PBE calculation of crystalline K4Ba2Ag at its relaxed geometry, from Alexandria.

Properties
space group: I4/mmm, No. 139
ΔH_f (0 K): 0.227 eV/atom
M_tot: 0.12 μB/atom
N(E_F): 9.108 states/eV/f.u.

The structure in POSCAR format:
```
K4Ba2Ag
1.0
-3.139 3.139 12.179
3.139 -3.139 12.179
3.139 3.139 -12.179
K Ba Ag
4 2 1
Cartesian
3.139 0.000 0.000
0.000 0.000 3.293
0.000 3.139 0.000
0.000 0.000 21.065
0.000 0.000 7.506
0.000 0.000 16.853
0.000 0.000 0.000
```